Record 1
Crystalline BaNaSr2I at its relaxed geometry, computed with GGA-PBEsol.

Structure (extended XYZ):
```
5
Lattice="6.8137 0.0000 0.0000 0.0000 6.8137 0.0000 0.0000 0.0000 5.7679" Properties=species:S:1:pos:R:3 pbc="T T T"
Ba 0.0000 0.0000 0.0000
Na 3.4068 3.4068 2.8840
Sr 0.0000 3.4068 2.8840
Sr 3.4068 0.0000 2.8840
I 3.4068 3.4068 0.0000
```

**N(E_F)**: 4.71 states/eV per cell
**Formation energy from raw total energies**: -19 meV/atom
**Space group**: No. 123
**Density**: 2.9 g/cm³
**Volume**: 268 Å³ per cell

***

Record 2
Crystalline BaNaTe2I at its relaxed geometry, computed with GGA-PBEsol.

Structure (extended XYZ):
```
5
Lattice="6.4095 0.0000 0.0000 0.0000 6.4095 0.0000 0.0000 0.0000 6.6090" Properties=species:S:1:pos:R:3 pbc="T T T"
Ba 0.0000 0.0000 0.0000
Na 3.2048 3.2048 3.3045
Te 0.0000 3.2048 0.0000
Te 3.2048 0.0000 0.0000
I 0.0000 0.0000 3.3045
```

**N(E_F)**: 8.40 states/eV per cell
**Formation energy from raw total energies**: -422 meV/atom
**Space group**: No. 123
**Density**: 3.3 g/cm³
**Volume**: 272 Å³ per cell

***

Record 3
Crystalline BaNb2I at its relaxed geometry, computed with GGA-PBEsol.

Structure (extended XYZ):
```
4
Lattice="0.0000 3.5082 3.5082 3.5082 0.0000 3.5082 3.5082 3.5082 0.0000" Properties=species:S:1:pos:R:3 pbc="T T T"
Ba 0.0000 0.0000 0.0000
Nb 1.7541 1.7541 1.7541
Nb 5.2623 5.2623 5.2623
I 3.5082 3.5082 3.5082
```

**N(E_F)**: 4.39 states/eV per cell
**Formation energy from raw total energies**: 1057 meV/atom
**Space group**: No. 225
**Density**: 8.7 g/cm³
**Volume**: 86 Å³ per cell

***

Record 4
Crystalline BaNbSb2I at its relaxed geometry, computed with GGA-PBEsol.

Structure (extended XYZ):
```
5
Lattice="6.0321 0.0000 0.0000 0.0000 6.0321 0.0000 0.0000 0.0000 6.1818" Properties=species:S:1:pos:R:3 pbc="T T T"
Ba 0.0000 0.0000 0.0000
Nb 3.0160 3.0160 3.0909
Sb 0.0000 3.0160 0.0000
Sb 3.0160 0.0000 0.0000
I 0.0000 0.0000 3.0909
```

**N(E_F)**: 8.55 states/eV per cell
**Formation energy from raw total energies**: 1410 meV/atom
**Space group**: No. 123
**Density**: 4.4 g/cm³
**Volume**: 225 Å³ per cell